Material: Ac4In2N
Method: DFT, PBE-GGA
State: optimized geometry

As for the size of the total moment: 0.0 μB per formula unit. The density of states at the Fermi level comes out at 0.94 states/eV per atom. The raw formation energy comes out at -0.5610 eV/atom. The total energy comes out at -0.3587 Ry per atom.

a b c (Å): 7.150 7.512 10.041
angles (deg): 90.00 110.41 90.00
Element x y z (fractional)
In 0.202 0.250 0.414
In 0.798 0.750 0.586
Ac 0.926 0.250 0.651
In 0.315 0.250 0.968
Ac 0.074 0.750 0.349
Ac 0.119 0.750 0.948
Ac 0.481 0.497 0.728
N 0.712 0.250 0.795
Ac 0.881 0.250 0.052
N 0.288 0.750 0.205
Ac 0.481 0.003 0.728
Ac 0.519 0.503 0.272
In 0.685 0.750 0.032
Ac 0.519 0.997 0.272

=====

Material: Cs3KTh2Te6
Method: DFT, PBE-GGA
State: optimized geometry

As for the size of the total moment: 0.0 μB per formula unit. The raw formation energy comes out at -1.2273 eV/atom. The total energy comes out at -0.3190 Ry per atom.

a b c (Å): 4.741 10.651 11.526
angles (deg): 107.89 101.87 90.00
Element x y z (fractional)
Te 0.973 0.746 0.946
Th 0.166 0.332 0.332
Th 0.834 0.668 0.668
Cs 0.500 0.500 0.000
Te 0.681 0.547 0.362
Te 0.673 0.140 0.346
Cs 0.846 0.167 0.692
Te 0.027 0.254 0.054
Te 0.327 0.860 0.654
Te 0.319 0.453 0.638
K 0.500 0.000 0.000
Cs 0.154 0.833 0.308

=====

Material: Na3AcPm2Te6
Method: DFT, PBE-GGA
State: optimized geometry

As for the size of the total moment: 0.0 μB per formula unit. The raw formation energy comes out at -1.3474 eV/atom. The total energy comes out at -0.3221 Ry per atom.

a b c (Å): 7.988 7.988 8.019
angles (deg): 99.59 99.59 120.02
Element x y z (fractional)
Ac 0.000 0.000 0.000
Te 0.427 0.081 0.241
Te 0.081 0.427 0.241
Te 0.573 0.919 0.759
Na 0.836 0.164 0.500
Pm 0.667 0.333 0.000
Te 0.735 0.735 0.242
Te 0.919 0.573 0.759
Na 0.164 0.836 0.500
Pm 0.333 0.667 0.000
Na 0.500 0.500 0.500
Te 0.265 0.265 0.758

=====

Material: Si2Ni2Ge
Method: DFT, PBE-GGA
State: optimized geometry

As for the size of the total moment: 0.0 μB per formula unit. The density of states at the Fermi level comes out at 0.54 states/eV per atom. The raw formation energy comes out at -0.1375 eV/atom. The total energy comes out at -0.4074 Ry per atom.

a b c (Å): 7.169 7.169 2.531
angles (deg): 90.00 90.00 90.00
Element x y z (fractional)
Si 0.368 0.132 0.500
Si 0.132 0.632 0.500
Ni 0.338 0.838 0.000
Ni 0.838 0.662 0.000
Ge 0.500 0.500 0.000
Si 0.868 0.368 0.500
Ni 0.662 0.162 0.000
Si 0.632 0.868 0.500
Ge 0.000 0.000 0.000
Ni 0.162 0.338 0.000

=====

Material: MnGeCSe
Method: DFT, PBE-GGA
State: optimized geometry

As for the size of the total moment: 0.0 μB per formula unit. The density of states at the Fermi level comes out at 0.24 states/eV per atom. The raw formation energy comes out at 0.3092 eV/atom. The total energy comes out at -0.4641 Ry per atom.

a b c (Å): 2.725 2.746 8.358
angles (deg): 90.24 98.53 90.00
Element x y z (fractional)
Se 0.886 0.161 0.404
C 0.232 0.657 0.065
Mn 0.754 0.158 0.113
Ge 0.128 0.153 0.836